VASP calculation (GGA+U) on crystalline VCuNO2 at its relaxed geometry.

Lattice parameters (Å, degrees): 3.723 3.723 3.878 90.00 90.00 90.00
Fractional coordinates of all 5 atoms:
1 V 0.000 0.000 0.000
2 Cu 0.500 0.500 0.500
3 N 0.000 0.000 0.500
4 O 0.000 0.500 0.000
5 O 0.500 0.000 0.000

Summary:
**Total moment**: 0.00 μB per cell
**Calculated density**: 4.96 Mg/m³
**VASP energy**: -6.21 eV/atom